Below is crystalline Mg4Cd2Ag at its relaxed geometry, with properties calculated at the GGA-PBE level.

abc: 4.7834 4.7834 23.4806
angles: 90.00 90.00 120.00
Closest atoms and distances in Å follow each position.
Space group R-3m (No. 166, hexagonal axes)
Unique sites:
Mg (0.0000, 0.0000, 0.1228)  4 Cd 2.91-2.97, 3 Ag 2.95
Mg (0.0000, 0.0000, 0.3732)  4 Cd 2.90-2.95, 1 Ag 2.98
Cd (0.0000, 0.0000, 0.2495)  8 Mg 2.90-2.97
Ag (0.0000, 0.0000, 0.5000)  8 Mg 2.95-2.98

Results
calculated formation energy = -0.08 eV per atom
energy relative to the lowest polymorph listed for this composition = 0.00 eV per formula unit
size of the total moment = 0.0 μB/f.u.
N(E_F) = 0.302 states/eV per atom
DFT total energy = -1.66 eV per atom

=====

Below is crystalline Mg3CdAg2 at its relaxed geometry, with properties calculated at the GGA-PBE level.

abc: 3.3439 3.3439 10.4149
angles: 90.00 90.00 90.00
Closest atoms and distances in Å follow each position.
Space group P4/mmm (No. 123)
Unique sites:
Mg (0.0000, 0.0000, 0.0000)  8 Ag 2.88
Mg (0.0000, 0.0000, 0.3153)  4 Ag 2.87, 4 Cd 3.05
Cd (0.5000, 0.5000, 0.5000)  8 Mg 3.05, 4 Cd 3.34
Ag (0.5000, 0.5000, 0.1585)  8 Mg 2.87-2.88

Results
calculated formation energy = -0.21 eV per atom
size of the total moment = 0.0 μB/f.u.
N(E_F) = 0.127 states/eV per atom
DFT total energy = -2.11 eV per atom